First-principles (GGA-PBE) data for BeCdP2 after structural relaxation, as listed in Alexandria.

Cell lengths 2.8366, 2.8366, 28.1189 Å; angles 90.00, 90.00, 120.00 degrees
Space group R-3m (No. 166, hexagonal axes)
Inequivalent atoms, fractional coordinates:
Be: 0.0000 0.0000 0.0000 (multiplicity 3)
Cd: 0.0000 0.0000 0.5000 (multiplicity 3)
P: 0.0000 0.0000 0.2745 (multiplicity 6)

ΔE to the lowest computed polymorph (eV per atom): 0.244



First-principles (GGA-PBE) data for Tb4Tm4Sc3 after structural relaxation, as listed in Alexandria.

Cell lengths 3.474, 5.455, 17.270 Å; angles 80.93, 89.99, 89.99 degrees
Space group P-1 (No. 2)
Inequivalent atoms, fractional coordinates:
Tb: 0.000 0.097 0.306 (multiplicity 2)
Tb: 0.000 0.281 0.938 (multiplicity 2)
Tm: 0.001 0.545 0.411 (multiplicity 2)
Tm: 0.500 0.188 0.125 (multiplicity 2)
Sc: 0.499 0.370 0.760 (multiplicity 2)
Sc: 0.500 0.000 0.500 (multiplicity 1)

ΔE to the lowest computed polymorph (eV per atom): 0.000



First-principles (GGA-PBE) data for CaPrMg after structural relaxation, as listed in Alexandria.

Cell lengths 3.791, 3.791, 13.887 Å; angles 90.00, 90.00, 90.00 degrees
Space group I4mm (No. 107)
Inequivalent atoms, fractional coordinates:
Ca: 0.000 0.000 0.000 (multiplicity 2)
Pr: 0.000 0.000 0.299 (multiplicity 2)
Mg: 0.000 0.000 0.652 (multiplicity 2)

ΔE to the lowest computed polymorph (eV per atom): 0.030



First-principles (GGA-PBE) data for CrGaFe2Sb after structural relaxation, as listed in Alexandria.

Cell lengths 4.394, 4.394, 4.660 Å; angles 90.00, 90.00, 90.00 degrees
Space group P4/mmm (No. 123)
Inequivalent atoms, fractional coordinates:
Cr: 0.000 0.000 0.000 (multiplicity 1)
Ga: 0.000 0.000 0.500 (multiplicity 1)
Fe: 0.000 0.500 0.000 (multiplicity 2)
Sb: 0.500 0.500 0.500 (multiplicity 1)

Formation energy from raw total energies (eV/atom): 0.901



Calculated calculated volume (Å³/atom), listed in the same order as above: 16.3 29.4 33.3 18.0
Calculated M_tot (μB/cell), listed in the same order as above: 0.0 0.0 0.0 2.8